#a
## LiTaSe3 (PBE)

Data for LiTaSe3 after structural relaxation.

Calculated volume: 23.6 A^3/atom

The structure in POSCAR format:
```
LiTaSe3
1.0
4.0916 0.0000 0.0000
0.0000 4.0916 0.0000
0.0000 0.0000 7.0557
Li Ta Se
1 1 3
direct
0.0000 0.0000 0.0000
0.5000 0.5000 0.4719
0.0000 0.0000 0.6497
0.0000 0.5000 0.2464
0.5000 0.0000 0.2464
```

#b
## LiTaSe3 (PBE)

Data for LiTaSe3 after structural relaxation.

Calculated volume: 32.1 A^3/atom

The structure in POSCAR format:
```
LiTaSe3
1.0
6.9532 -7.3332 0.0000
6.9532 7.3332 0.0000
-2.5992 0.0000 6.2884
Li Ta Se
4 4 12
direct
0.0153 0.9847 0.7500
0.2297 0.7703 0.2500
0.7703 0.2297 0.7500
0.9847 0.0153 0.2500
0.2005 0.3492 0.7074
0.3492 0.2005 0.2074
0.6508 0.7995 0.7926
0.7995 0.6508 0.2926
0.0154 0.8012 0.4039
0.1675 0.5610 0.9091
0.1988 0.9846 0.0961
0.2629 0.4055 0.4070
0.4055 0.2629 0.9070
0.4390 0.8325 0.5909
0.5610 0.1675 0.4091
0.5945 0.7371 0.0930
0.7371 0.5945 0.5930
0.8012 0.0154 0.9039
0.8325 0.4390 0.0909
0.9846 0.1988 0.5961
```

#c
## LiTaSe3 (PBE)

Data for LiTaSe3 after structural relaxation.

Calculated volume: 26.6 A^3/atom

The structure in POSCAR format:
```
LiTaSe3
1.0
3.5769 2.0651 3.0014
-3.5769 2.0651 3.0014
0.0000 -4.1302 3.0014
Li Ta Se
1 1 3
direct
0.0000 0.0000 0.0000
0.3433 0.3433 0.3433
0.3508 0.3508 0.8468
0.3508 0.8468 0.3508
0.8468 0.3508 0.3508
```

Least stable: #a

#a
## LiTaSe3 (PBE)

Data for LiTaSe3 after structural relaxation.

Calculated volume: 22.9 A^3/atom

The structure in POSCAR format:
```
LiTaSe3
1.0
7.9048 0.0000 0.0000
0.0000 6.9781 0.0000
-4.7828 0.0000 8.3153
Li Ta Se
4 4 12
direct
0.1216 0.2035 0.0756
0.1216 0.2965 0.5756
0.8784 0.7035 0.4244
0.8784 0.7965 0.9244
0.2466 0.6595 0.8841
0.2466 0.8405 0.3841
0.7534 0.1595 0.6159
0.7534 0.3405 0.1159
0.0797 0.0161 0.7407
0.0797 0.4839 0.2407
0.2632 0.6511 0.6147
0.2632 0.8489 0.1147
0.3718 0.1706 0.5036
0.3718 0.3294 0.0036
0.6282 0.6706 0.9964
0.6282 0.8294 0.4964
0.7368 0.1511 0.8853
0.7368 0.3489 0.3853
0.9203 0.5161 0.7593
0.9203 0.9839 0.2593
```

#b
## LiTaSe3 (PBE)

Data for LiTaSe3 after structural relaxation.

Calculated volume: 24.3 A^3/atom

The structure in POSCAR format:
```
LiTaSe3
1.0
3.2427 0.0000 0.0000
-0.1628 6.6377 0.0000
-1.5886 -3.2950 5.6546
Li Ta Se
1 1 3
direct
0.0000 0.0000 0.0000
0.1755 0.6244 0.2879
0.4787 0.3220 0.9727
0.6689 0.9349 0.3009
0.7897 0.6151 0.5911
```

#c
## LiTaSe3 (PBE)

Data for LiTaSe3 after structural relaxation.

Calculated volume: 26.1 A^3/atom

The structure in POSCAR format:
```
LiTaSe3
1.0
5.0700 0.0000 0.0000
0.0000 5.0700 0.0000
0.0000 0.0000 5.0700
Li Ta Se
1 1 3
direct
0.0000 0.0000 0.0000
0.5000 0.5000 0.5000
0.0000 0.5000 0.5000
0.5000 0.0000 0.5000
0.5000 0.5000 0.0000
```

Least stable: #c

#a
## LiTaSe3 (PBE)

Data for LiTaSe3 after structural relaxation.

Calculated volume: 24.9 A^3/atom

The structure in POSCAR format:
```
LiTaSe3
1.0
4.3544 0.0000 0.0000
-2.1772 3.7710 0.0000
0.0000 0.0000 15.1733
Li Ta Se
2 2 6
direct
0.0000 0.0000 0.0000
0.0000 0.0000 0.5000
0.3333 0.6667 0.2500
0.6667 0.3333 0.7500
0.0000 0.0000 0.2500
0.0000 0.0000 0.7500
0.3333 0.6667 0.0860
0.3333 0.6667 0.4140
0.6667 0.3333 0.5860
0.6667 0.3333 0.9140
```

#b
## LiTaSe3 (PBE)

Data for LiTaSe3 after structural relaxation.

Calculated volume: 47.0 A^3/atom

The structure in POSCAR format:
```
LiTaSe3
1.0
3.8429 -7.7642 0.0000
3.8429 7.7642 0.0000
0.0000 0.0000 7.8814
Li Ta Se
2 2 6
direct
0.2143 0.7857 0.7500
0.7857 0.2143 0.2500
0.4069 0.5931 0.7500
0.5931 0.4069 0.2500
0.0690 0.4365 0.7500
0.4365 0.0690 0.2500
0.5000 0.5000 0.0000
0.5000 0.5000 0.5000
0.5635 0.9310 0.7500
0.9310 0.5635 0.2500
```

#c
## LiTaSe3 (PBE)

Data for LiTaSe3 after structural relaxation.

Calculated volume: 25.0 A^3/atom

The structure in POSCAR format:
```
LiTaSe3
1.0
6.4554 0.0000 0.0000
-0.2425 6.7167 0.0000
-1.5207 -3.3302 5.7579
Li Ta Se
2 2 6
direct
0.0000 0.0000 0.0000
0.3774 0.7077 0.4102
0.4486 0.3363 0.7059
0.9422 0.3329 0.6971
0.1023 0.0246 0.4052
0.1942 0.6353 0.7043
0.2522 0.3309 0.0047
0.5948 0.0423 0.3895
0.6934 0.6371 0.7001
0.7574 0.3391 0.0068
```

#d
## LiTaSe3 (PBE)

Data for LiTaSe3 after structural relaxation.

Calculated volume: 22.2 A^3/atom

The structure in POSCAR format:
```
LiTaSe3
1.0
3.3137 1.9132 5.8454
-3.3137 1.9132 5.8454
0.0000 -3.8264 5.8454
Li Ta Se
2 2 6
direct
0.0000 0.0000 0.0000
0.5000 0.5000 0.5000
0.1920 0.1920 0.1920
0.6920 0.6920 0.6920
0.0751 0.7909 0.4318
0.2909 0.5751 0.9318
0.4318 0.0751 0.7909
0.5751 0.9318 0.2909
0.7909 0.4318 0.0751
0.9318 0.2909 0.5751
```

Least stable: #a

#a
## LiTaSe3 (PBE)

Data for LiTaSe3 after structural relaxation.

Calculated volume: 18.9 A^3/atom

The structure in POSCAR format:
```
LiTaSe3
1.0
4.5522 0.0000 0.0000
0.0000 4.5522 0.0000
0.0000 0.0000 4.5522
Li Ta Se
1 1 3
direct
0.0000 0.0000 0.0000
0.5000 0.5000 0.5000
0.0000 0.0000 0.5000
0.0000 0.5000 0.0000
0.5000 0.0000 0.0000
```

#b
## LiTaSe3 (PBE)

Data for LiTaSe3 after structural relaxation.

Calculated volume: 32.3 A^3/atom

The structure in POSCAR format:
```
LiTaSe3
1.0
3.2627 -10.9540 0.0000
3.2627 10.9540 0.0000
0.0000 0.0000 4.5131
Li Ta Se
2 2 6
direct
0.1013 0.8987 0.7500
0.8987 0.1013 0.2500
0.2778 0.7222 0.7500
0.7222 0.2778 0.2500
0.0000 0.0000 0.0000
0.0000 0.0000 0.5000
0.0758 0.4555 0.2500
0.4555 0.0758 0.7500
0.5445 0.9242 0.2500
0.9242 0.5445 0.7500
```

Least stable: #a

#a
## LiTaSe3 (PBE)

Data for LiTaSe3 after structural relaxation.

Calculated volume: 21.4 A^3/atom

The structure in POSCAR format:
```
LiTaSe3
1.0
6.8559 0.0000 0.0000
0.0000 9.5647 0.0000
0.0000 0.0000 6.5395
Li Ta Se
4 4 12
direct
0.1130 0.2500 0.0397
0.3870 0.7500 0.5397
0.6130 0.2500 0.4603
0.8870 0.7500 0.9603
0.0000 0.0000 0.5000
0.0000 0.5000 0.5000
0.5000 0.0000 0.0000
0.5000 0.5000 0.0000
0.0315 0.7500 0.3550
0.1763 0.5714 0.8314
0.1763 0.9286 0.8314
0.3237 0.0714 0.3314
0.3237 0.4286 0.3314
0.4685 0.2500 0.8550
0.5315 0.7500 0.1450
0.6763 0.5714 0.6686
0.6763 0.9286 0.6686
0.8237 0.0714 0.1686
0.8237 0.4286 0.1686
0.9685 0.2500 0.6450
```

#b
## LiTaSe3 (PBE)

Data for LiTaSe3 after structural relaxation.

Calculated volume: 29.4 A^3/atom

The structure in POSCAR format:
```
LiTaSe3
1.0
0.0000 6.6525 6.6525
6.6525 0.0000 6.6525
6.6525 6.6525 0.0000
Li Ta Se
4 4 12
direct
0.0000 0.0000 0.0000
0.0000 0.0000 0.5000
0.0000 0.5000 0.0000
0.5000 0.0000 0.0000
0.0000 0.5000 0.5000
0.5000 0.0000 0.5000
0.5000 0.5000 0.0000
0.5000 0.5000 0.5000
0.1727 0.1727 0.5773
0.1727 0.5773 0.1727
0.1727 0.5773 0.5773
0.4227 0.4227 0.8273
0.4227 0.8273 0.4227
0.4227 0.8273 0.8273
0.5773 0.1727 0.1727
0.5773 0.1727 0.5773
0.5773 0.5773 0.1727
0.8273 0.4227 0.4227
0.8273 0.4227 0.8273
0.8273 0.8273 0.4227
```

Least stable: #b

#a
## LiTa4Se8 (PBE)

Data for LiTa4Se8 after structural relaxation.

Calculated volume: 22.1 A^3/atom

The structure in POSCAR format:
```
LiTa4Se8
1.0
0.0000 5.2395 5.2395
5.2395 0.0000 5.2395
5.2395 5.2395 0.0000
Li Ta Se
1 4 8
direct
0.0000 0.0000 0.0000
0.1747 0.6084 0.6084
0.6084 0.1747 0.6084
0.6084 0.6084 0.1747
0.6084 0.6084 0.6084
0.3659 0.3659 0.3659
0.3659 0.3659 0.9024
0.3659 0.9024 0.3659
0.4033 0.8656 0.8656
0.8656 0.4033 0.8656
0.8656 0.8656 0.4033
0.8656 0.8656 0.8656
0.9024 0.3659 0.3659
```

#b
## LiTa4Se8 (PBE)

Data for LiTa4Se8 after structural relaxation.

Calculated volume: 22.4 A^3/atom

The structure in POSCAR format:
```
LiTa4Se8
1.0
6.0686 -3.5090 0.0000
6.0686 3.5090 0.0000
-5.9930 0.0000 6.8508
Li Ta Se
1 4 8
direct
0.0000 0.0000 0.0000
0.2541 0.2541 0.5004
0.2611 0.7389 0.5000
0.7389 0.2611 0.5000
0.7459 0.7459 0.4996
0.0342 0.0342 0.7353
0.0388 0.5335 0.7431
0.4607 0.4607 0.2510
0.4665 0.9612 0.2569
0.5335 0.0388 0.7431
0.5393 0.5393 0.7490
0.9612 0.4665 0.2569
0.9658 0.9658 0.2647
```

Least stable: #a

#a
## LiTaSe (PBE)

Data for LiTaSe after structural relaxation.

Calculated volume: 15.7 A^3/atom

The structure in POSCAR format:
```
LiTaSe
1.0
-1.6061 1.6061 4.5753
1.6061 -1.6061 4.5753
1.6061 1.6061 -4.5753
Li Ta Se
1 1 1
direct
0.0000 0.0000 0.0000
0.6918 0.6918 0.0000
0.3572 0.3572 0.0000
```

#b
## LiTaSe (PBE)

Data for LiTaSe after structural relaxation.

Calculated volume: 18.5 A^3/atom

The structure in POSCAR format:
```
LiTaSe
1.0
0.0000 2.5106 6.4630
1.7079 0.0000 6.4630
1.7079 2.5106 0.0000
Li Ta Se
1 1 1
direct
0.0000 0.0000 0.0000
0.3144 0.3144 0.6856
0.6655 0.6655 0.3345
```

#c
## LiTaSe (PBE)

Data for LiTaSe after structural relaxation.

Calculated volume: 19.0 A^3/atom

The structure in POSCAR format:
```
LiTaSe
1.0
0.0000 3.0557 3.0557
3.0557 0.0000 3.0557
3.0557 3.0557 0.0000
Li Ta Se
1 1 1
direct
0.0000 0.0000 0.0000
0.7500 0.7500 0.7500
0.5000 0.5000 0.5000
```

#d
## LiTaSe (PBE)

Data for LiTaSe after structural relaxation.

Calculated volume: 18.1 A^3/atom

The structure in POSCAR format:
```
LiTaSe
1.0
0.0000 3.0053 3.0053
3.0053 0.0000 3.0053
3.0053 3.0053 0.0000
Li Ta Se
1 1 1
direct
0.0000 0.0000 0.0000
0.5000 0.5000 0.5000
0.7500 0.7500 0.7500
```

Least stable: #c

#a
## LiTaSe (PBE)

Data for LiTaSe after structural relaxation.

Calculated volume: 18.1 A^3/atom

The structure in POSCAR format:
```
LiTaSe
1.0
4.3588 0.0000 0.0000
-2.1794 3.7748 0.0000
0.0000 0.0000 3.2960
Li Ta Se
1 1 1
direct
0.0000 0.0000 0.0000
0.3333 0.6667 0.5000
0.6667 0.3333 0.5000
```

#b
## LiTaSe (PBE)

Data for LiTaSe after structural relaxation.

Calculated volume: 19.1 A^3/atom

The structure in POSCAR format:
```
LiTaSe
1.0
3.2160 0.0000 0.0000
-1.6080 2.7852 0.0000
0.0000 0.0000 6.3865
Li Ta Se
1 1 1
direct
0.0000 0.0000 0.0000
0.6667 0.3333 0.6076
0.3333 0.6667 0.3292
```

Least stable: #a